ScVP2S GGA-PBE relaxed; SG = P4/mmm; formation energy (no corrections) = -24.1 kJ/mol of atoms; raw total energy = -6.33 eV/atom
1.0
-0.972 -2.764 3.375
-2.155 -2.702 -2.833
4.000 -2.367 -0.786
V P S Sc
1 2 1 1
direct
0.000 0.000 0.000
0.000 0.500 0.000
0.500 0.000 0.000
0.000 0.000 0.500
0.500 0.500 0.500